[1]
Computed, not measured: a relaxed Sr3AgC crystal at the PBE level of DFT.

Lattice parameters (Å, degrees): 5.4319 5.4319 5.4319 90.00 90.00 90.00
Sites, in units of the cell vectors:
Sr1 0.0000 0.5000 0.0000
Sr2 0.0000 0.0000 0.5000
Sr3 0.5000 0.0000 0.0000
C1 0.0000 0.0000 0.0000
Ag1 0.5000 0.5000 0.5000

## Properties
* calculated total energy: -3.18 eV/atom
* offset from the most stable computed form: 0.000 kcal/mol of atoms
* symmetry: Pm-3m (221)
* ρ: 3.97 g/cm3
* E_form: 23.3 kJ/mol of atoms

=====

[2]
Computed, not measured: a relaxed SrAg3C crystal at the PBE level of DFT.

Lattice parameters (Å, degrees): 5.9985 5.9985 5.9985 90.00 90.00 90.00
Last column: magnetic moment on the atom in μB.
Sites, in units of the cell vectors:
Sr1 0.0000 0.0000 0.0000  -0.08
C1 0.5000 0.5000 0.5000  0.97
Ag1 0.0000 0.5000 0.0000  -0.16
Ag2 0.0000 0.0000 0.5000  -0.12
Ag3 0.5000 0.0000 0.0000  -0.12

## Properties
* calculated total energy: -1.65 eV/atom
* offset from the most stable computed form: 39.878 kcal/mol of atoms
* symmetry: Pm-3m (221)
* ρ: 3.26 g/cm3
* E_form: 216.5 kJ/mol of atoms

=====

[3]
Computed, not measured: a relaxed Sr2AgC2 crystal at the PBE level of DFT.

Lattice parameters (Å, degrees): 8.0128 8.0128 3.1741 90.00 90.00 90.00
Last column: magnetic moment on the atom in μB.
Sites, in units of the cell vectors:
Sr1 0.3536 0.8536 0.0000  0.05
Sr2 0.8536 0.6464 0.0000  0.05
Sr3 0.6464 0.1464 0.0000  0.05
Sr4 0.1464 0.3536 0.0000  0.05
C1 0.1537 0.6537 0.5000  0.42
C2 0.6537 0.8463 0.5000  0.43
C3 0.8463 0.3463 0.5000  0.42
C4 0.3463 0.1537 0.5000  0.43
Ag1 0.0000 0.0000 0.0000  0.01
Ag2 0.5000 0.5000 0.0000  0.01

## Properties
* calculated total energy: -3.57 eV/atom
* offset from the most stable computed form: 1.370 kcal/mol of atoms
* symmetry: P4/mbm (127)
* ρ: 5.01 g/cm3
* E_form: 131.6 kJ/mol of atoms

=====

[4]
Computed, not measured: a relaxed Sr2AgC2 crystal at the PBE level of DFT.

Lattice parameters (Å, degrees): 3.6769 3.6769 8.7285 77.84 77.84 90.00
Last column: magnetic moment on the atom in μB.
Sites, in units of the cell vectors:
Sr1 0.3609 0.3609 0.2782  0.04
Sr2 0.6391 0.6391 0.7218  0.04
C1 0.7500 0.2500 0.5000  0.19
C2 0.2500 0.7500 0.5000  0.19
Ag1 0.0000 0.0000 0.0000  0.01

## Properties
* calculated total energy: -3.63 eV/atom
* offset from the most stable computed form: 0.000 kcal/mol of atoms
* symmetry: I4/mmm (139)
* ρ: 4.53 g/cm3
* E_form: 125.9 kJ/mol of atoms

=====

[5]
Computed, not measured: a relaxed SrAgC3 crystal at the PBE level of DFT.

Lattice parameters (Å, degrees): 4.6578 4.6578 4.6578 90.00 90.00 90.00
Sites, in units of the cell vectors:
Sr1 0.0000 0.0000 0.0000
C1 0.0000 0.5000 0.0000
C2 0.0000 0.0000 0.5000
C3 0.5000 0.0000 0.0000
Ag1 0.5000 0.5000 0.5000

## Properties
* calculated total energy: -2.87 eV/atom
* offset from the most stable computed form: 26.673 kcal/mol of atoms
* symmetry: Pm-3m (221)
* ρ: 3.80 g/cm3
* E_form: 344.3 kJ/mol of atoms

=====

[6]
Computed, not measured: a relaxed SrAgC3 crystal at the PBE level of DFT.

Lattice parameters (Å, degrees): 4.3059 4.3059 4.3059 90.00 90.00 90.00
Sites, in units of the cell vectors:
Sr1 0.5000 0.5000 0.5000
C1 0.0000 0.5000 0.0000
C2 0.0000 0.0000 0.5000
C3 0.5000 0.0000 0.0000
Ag1 0.0000 0.0000 0.0000

## Properties
* calculated total energy: -4.03 eV/atom
* offset from the most stable computed form: 0.000 kcal/mol of atoms
* symmetry: Pm-3m (221)
* ρ: 4.82 g/cm3
* E_form: 232.7 kJ/mol of atoms